1.
VASP calculation (GGA-PBE) on a relaxed K2NaBrCl crystal.

Unit cell a=6.411 b=5.578 c=6.411 alpha=90.00 beta=90.00 gamma=90.00
Positions (direct):
1 Na 0.000 0.500 0.000
2 K 0.000 0.000 0.500
3 K 0.500 0.000 0.000
4 Br 0.000 0.000 0.000
5 Cl 0.500 0.500 0.500

Output
Total magnetization (μB/atom): 0.000
ΔE_f (raw) (eV per formula unit): -5.420

=====

2.
VASP calculation (GGA-PBE) on a relaxed K2NbBr2Cl4 crystal.

Unit cell a=7.378 b=7.334 c=7.334 alpha=58.76 beta=61.56 gamma=61.56
Each line ends with the local moment (μB).
Positions (direct):
1 K 0.278 0.747 0.747  0.00
2 K 0.722 0.253 0.253  0.00
3 Nb 0.500 0.000 0.000  0.86
4 Br 0.193 0.238 0.238  0.00
5 Br 0.807 0.762 0.762  0.00
6 Cl 0.309 0.723 0.200  0.00
7 Cl 0.691 0.800 0.277  0.00
8 Cl 0.691 0.277 0.800  0.00
9 Cl 0.309 0.200 0.723  0.00

Output
Total magnetization (μB/atom): 0.111
ΔE_f (raw) (eV per formula unit): -13.367

=====

3.
VASP calculation (GGA-PBE) on a relaxed K2NiBrCl6 crystal.

Unit cell a=7.073 b=7.054 c=7.345 alpha=118.70 beta=116.89 gamma=90.00
Positions (direct):
1 K 0.227 0.243 0.485
2 K 0.773 0.757 0.515
3 Ni 0.000 0.500 0.000
4 Br 0.500 0.000 0.000
5 Cl 0.244 0.699 0.398
6 Cl 0.198 0.238 0.938
7 Cl 0.802 0.300 0.062
8 Cl 0.198 0.700 0.938
9 Cl 0.802 0.762 0.062
10 Cl 0.756 0.301 0.602

Output
Total magnetization (μB/atom): 0.000
ΔE_f (raw) (eV per formula unit): -9.277

=====

4.
VASP calculation (GGA-PBE) on a relaxed K2NiBr4Cl2 crystal.

Unit cell a=7.210 b=7.210 c=7.210 alpha=88.71 beta=120.75 gamma=120.75
Positions (direct):
1 K 0.500 0.750 0.250
2 K 0.500 0.250 0.750
3 Ni 0.000 0.000 0.000
4 Br 0.000 0.760 0.240
5 Br 0.520 0.760 0.760
6 Br 0.000 0.240 0.760
7 Br 0.480 0.240 0.240
8 Cl 0.000 0.783 0.783
9 Cl 0.000 0.217 0.217

Output
Total magnetization (μB/atom): 0.000
ΔE_f (raw) (eV per formula unit): -8.743

=====

5.
VASP calculation (GGA-PBE) on a relaxed KNiBrCl2 crystal.

Unit cell a=4.770 b=4.770 c=5.075 alpha=90.00 beta=90.00 gamma=90.00
Positions (direct):
1 Ni 0.000 0.000 0.000
2 K 0.500 0.500 0.500
3 Br 0.000 0.000 0.500
4 Cl 0.000 0.500 0.000
5 Cl 0.500 0.000 0.000

Output
Total magnetization (μB/atom): 0.001
ΔE_f (raw) (eV per formula unit): -4.878

=====

6.
VASP calculation (GGA-PBE) on a relaxed KNiBr2Cl crystal.

Unit cell a=5.094 b=5.094 c=4.731 alpha=90.00 beta=90.00 gamma=90.00
Positions (direct):
1 Ni 0.000 0.000 0.000
2 K 0.500 0.500 0.500
3 Br 0.000 0.500 0.000
4 Br 0.500 0.000 0.000
5 Cl 0.000 0.000 0.500

Output
Total magnetization (μB/atom): 0.001
ΔE_f (raw) (eV per formula unit): -4.463

=====

7.
VASP calculation (GGA-PBE) on a relaxed K2NpBr3Cl3 crystal.

Unit cell a=4.337 b=8.277 c=8.277 alpha=120.00 beta=90.00 gamma=90.00
Each line ends with the local moment (μB).
Positions (direct):
1 K 0.500 0.333 0.667  0.00
2 K 0.500 0.667 0.333  0.00
3 Np 0.000 0.000 0.000  3.30
4 Br 0.000 0.000 0.363  -0.05
5 Br 0.000 0.637 0.637  -0.05
6 Br 0.000 0.363 0.000  -0.05
7 Cl 0.500 0.775 0.000  -0.05
8 Cl 0.500 0.225 0.225  -0.05
9 Cl 0.500 0.000 0.775  -0.05

Output
Total magnetization (μB/atom): 0.333
ΔE_f (raw) (eV per formula unit): -14.166

=====

8.
VASP calculation (GGA-PBE) on a relaxed K2NpBr4Cl2 crystal.

Unit cell a=7.769 b=7.854 c=7.854 alpha=59.79 beta=59.42 gamma=59.42
Each line ends with the local moment (μB).
Positions (direct):
1 K 0.259 0.756 0.756  0.00
2 K 0.741 0.244 0.244  0.00
3 Np 0.500 0.000 0.000  3.18
4 Br 0.311 0.698 0.195  -0.03
5 Br 0.689 0.805 0.302  -0.03
6 Br 0.689 0.302 0.805  -0.03
7 Br 0.311 0.195 0.698  -0.03
8 Cl 0.168 0.225 0.225  -0.03
9 Cl 0.832 0.775 0.775  -0.03

Output
Total magnetization (μB/atom): 0.333
ΔE_f (raw) (eV per formula unit): -14.495

=====

9.
VASP calculation (GGA-PBE) on a relaxed K12Br4ClO3 crystal.

Unit cell a=9.517 b=9.517 c=9.517 alpha=109.47 beta=109.47 gamma=109.47
Positions (direct):
1 K 0.250 0.500 0.750
2 K 0.725 0.000 0.725
3 K 0.275 0.000 0.275
4 K 0.750 0.500 0.250
5 K 0.725 0.725 0.000
6 K 0.275 0.275 0.000
7 K 0.750 0.250 0.500
8 K 0.250 0.750 0.500
9 K 0.500 0.250 0.750
10 K 0.000 0.725 0.725
11 K 0.500 0.750 0.250
12 K 0.000 0.275 0.275
13 Br 0.500 0.500 0.500
14 Br 0.000 0.000 0.500
15 Br 0.500 0.000 0.000
16 Br 0.000 0.500 0.000
17 Cl 0.000 0.000 0.000
18 O 0.500 0.000 0.500
19 O 0.500 0.500 0.000
20 O 0.000 0.500 0.500

Output
Total magnetization (μB/atom): 0.000
ΔE_f (raw) (eV per formula unit): -26.410

=====

10.
VASP calculation (GGA-PBE) on a relaxed K9Br3ClO2 crystal.

Unit cell a=7.656 b=7.656 c=10.319 alpha=90.00 beta=90.00 gamma=120.00
Positions (direct):
1 K 0.826 0.174 0.707
2 K 0.826 0.652 0.707
3 K 0.348 0.174 0.707
4 K 0.652 0.826 0.293
5 K 0.174 0.348 0.293
6 K 0.174 0.826 0.293
7 K 0.500 0.000 0.000
8 K 0.000 0.500 0.000
9 K 0.500 0.500 0.000
10 Br 0.333 0.667 0.737
11 Br 0.000 0.000 0.000
12 Br 0.667 0.333 0.263
13 Cl 0.000 0.000 0.500
14 O 0.333 0.667 0.158
15 O 0.667 0.333 0.842

Output
Total magnetization (μB/atom): 0.000
ΔE_f (raw) (eV per formula unit): -19.848

=====

11.
VASP calculation (GGA-PBE) on a relaxed K6Br2Cl2O crystal.

Unit cell a=7.624 b=7.624 c=7.968 alpha=100.12 beta=100.12 gamma=117.18
Each line ends with the local moment (μB).
Positions (direct):
1 K 0.803 0.803 0.701  0.00
2 K 0.054 0.360 0.703  0.00
3 K 0.197 0.197 0.299  0.00
4 K 0.360 0.054 0.703  0.00
5 K 0.946 0.640 0.297  0.00
6 K 0.640 0.946 0.297  0.00
7 Br 0.820 0.180 0.000  0.00
8 Br 0.180 0.820 0.000  0.00
9 Cl 0.343 0.657 0.500  0.00
10 Cl 0.657 0.343 0.500  0.00
11 O 0.000 0.000 0.500  0.10

Output
Total magnetization (μB/atom): 0.012
ΔE_f (raw) (eV per formula unit): -17.757

=====

12.
VASP calculation (GGA-PBE) on a relaxed K7Br2ClO2 crystal.

Unit cell a=5.226 b=5.226 c=14.047 alpha=79.32 beta=79.32 gamma=90.00
Positions (direct):
1 K 0.500 0.500 0.000
2 K 0.309 0.309 0.383
3 K 0.691 0.691 0.617
4 K 0.906 0.406 0.190
5 K 0.406 0.906 0.190
6 K 0.594 0.094 0.810
7 K 0.094 0.594 0.810
8 Br 0.817 0.817 0.368
9 Br 0.183 0.183 0.632
10 Cl 0.000 0.000 0.000
11 O 0.597 0.597 0.805
12 O 0.403 0.403 0.195

Output
Total magnetization (μB/atom): 0.000
ΔE_f (raw) (eV per formula unit): -17.121